Record 1
VASP calculation (PBE) on a relaxed Te2PBr crystal.

Calculated values
Energy relative to the lowest polymorph listed for this composition, meV/atom: 0
Formation energy (no corrections), eV per atom: 0.08

Geometry as CIF:
```
data_Te2PBr
_space_group_name_H-M_alt 'P 1'
_space_group_IT_number 1
_cell_length_a 5.6990
_cell_length_b 3.8698
_cell_length_c 5.8097
_cell_angle_alpha 90.00
_cell_angle_beta 103.90
_cell_angle_gamma 90.00
loop_
_space_group_symop_operation_xyz
'x,y,z'
loop_
_atom_site_label
_atom_site_fract_x
_atom_site_fract_y
_atom_site_fract_z
Te1 0.0000 0.0000 0.0000
Te2 0.4637 0.5000 0.2065
P1 0.8003 0.0000 0.3262
Br1 0.4325 0.5000 0.7006
```

Record 2
VASP calculation (PBE) on a relaxed La2Dy6Mg crystal.

Calculated values
E_form, eV per formula unit: 0.8
Energy relative to the lowest polymorph listed for this composition, meV/atom: 11

Geometry as CIF:
```
data_La2Dy6Mg
_space_group_name_H-M_alt 'P 1'
_space_group_IT_number 1
_cell_length_a 8.8507
_cell_length_b 8.8507
_cell_length_c 6.7382
_cell_angle_alpha 110.98
_cell_angle_beta 110.98
_cell_angle_gamma 36.58
loop_
_space_group_symop_operation_xyz
'x,y,z'
loop_
_atom_site_label
_atom_site_fract_x
_atom_site_fract_y
_atom_site_fract_z
La1 0.1121 0.1121 0.1490
La2 0.8879 0.8879 0.8510
Dy1 0.2486 0.2486 0.8592
Dy2 0.3257 0.3257 0.4489
Dy3 0.4690 0.4690 0.2103
Dy4 0.5310 0.5310 0.7897
Dy5 0.6743 0.6743 0.5511
Dy6 0.7514 0.7514 0.1408
Mg1 0.0000 0.0000 0.5000
```

Record 3
VASP calculation (PBE) on a relaxed HoBe4GeIr2 crystal.

Calculated values
E_form, eV per formula unit: -2.2

Geometry as CIF:
```
data_HoBe4GeIr2
_space_group_name_H-M_alt 'P 1'
_space_group_IT_number 1
_cell_length_a 8.9661
_cell_length_b 8.9661
_cell_length_c 8.9661
_cell_angle_alpha 25.14
_cell_angle_beta 25.14
_cell_angle_gamma 25.14
loop_
_space_group_symop_operation_xyz
'x,y,z'
loop_
_atom_site_label
_atom_site_fract_x
_atom_site_fract_y
_atom_site_fract_z
Ho1 0.0000 0.0000 0.0000
Be1 0.1086 0.1086 0.1086
Be2 0.4087 0.4087 0.4087
Be3 0.5913 0.5913 0.5913
Be4 0.8914 0.8914 0.8914
Ge1 0.5000 0.5000 0.5000
Ir1 0.2487 0.2487 0.2487
Ir2 0.7513 0.7513 0.7513
```

Record 4
VASP calculation (PBE) on a relaxed Dy4Ho3In2 crystal.

Calculated values
E_form, eV per formula unit: -1.6

Geometry as CIF:
```
data_Dy4Ho3In2
_space_group_name_H-M_alt 'P 1'
_space_group_IT_number 1
_cell_length_a 7.8357
_cell_length_b 7.8357
_cell_length_c 7.6305
_cell_angle_alpha 107.90
_cell_angle_beta 107.90
_cell_angle_gamma 36.40
loop_
_space_group_symop_operation_xyz
'x,y,z'
loop_
_atom_site_label
_atom_site_fract_x
_atom_site_fract_y
_atom_site_fract_z
Dy1 0.0541 0.0541 0.3261
Dy2 0.2788 0.2788 0.6823
Dy3 0.7212 0.7212 0.3177
Dy4 0.9459 0.9459 0.6739
Ho1 0.3860 0.3860 0.3254
Ho2 0.5000 0.5000 0.0000
Ho3 0.6140 0.6140 0.6746
In1 0.1610 0.1610 0.9986
In2 0.8390 0.8390 0.0014
```

Record 5
VASP calculation (PBE) on a relaxed TaReRu2 crystal.

Calculated values
E_form, eV per formula unit: -0.3
Energy relative to the lowest polymorph listed for this composition, meV/atom: 30

Geometry as CIF:
```
data_TaReRu2
_space_group_name_H-M_alt 'P 1'
_space_group_IT_number 1
_cell_length_a 4.7557
_cell_length_b 4.7557
_cell_length_c 2.8151
_cell_angle_alpha 90.00
_cell_angle_beta 90.00
_cell_angle_gamma 107.72
loop_
_space_group_symop_operation_xyz
'x,y,z'
loop_
_atom_site_label
_atom_site_fract_x
_atom_site_fract_y
_atom_site_fract_z
Ta1 0.0000 0.0000 0.0000
Re1 0.5000 0.5000 0.0000
Ru1 0.0000 0.5000 0.5000
Ru2 0.5000 0.0000 0.5000
```

Record 6
VASP calculation (PBE) on a relaxed Tc3GeN crystal.

Calculated values
Energy relative to the lowest polymorph listed for this composition, meV/atom: 0
Formation energy (no corrections), eV per atom: 0.09

Geometry as CIF:
```
data_Tc3GeN
_space_group_name_H-M_alt 'P 1'
_space_group_IT_number 1
_cell_length_a 4.0536
_cell_length_b 4.0536
_cell_length_c 4.0536
_cell_angle_alpha 90.00
_cell_angle_beta 90.00
_cell_angle_gamma 90.00
loop_
_space_group_symop_operation_xyz
'x,y,z'
loop_
_atom_site_label
_atom_site_fract_x
_atom_site_fract_y
_atom_site_fract_z
Tc1 0.0000 0.0000 0.5000
Tc2 0.0000 0.5000 0.0000
Tc3 0.5000 0.0000 0.0000
Ge1 0.5000 0.5000 0.5000
N1 0.0000 0.0000 0.0000
```

Record 7
VASP calculation (PBE) on a relaxed CaTa2Cr crystal.

Calculated values
E_form, eV per formula unit: 2.0
Energy relative to the lowest polymorph listed for this composition, meV/atom: 18

Geometry as CIF:
```
data_CaTa2Cr
_space_group_name_H-M_alt 'P 1'
_space_group_IT_number 1
_cell_length_a 3.2846
_cell_length_b 3.2846
_cell_length_c 7.6233
_cell_angle_alpha 90.00
_cell_angle_beta 90.00
_cell_angle_gamma 90.00
loop_
_space_group_symop_operation_xyz
'x,y,z'
loop_
_atom_site_label
_atom_site_fract_x
_atom_site_fract_y
_atom_site_fract_z
Ca1 0.0000 0.0000 0.0000
Ta1 0.0000 0.0000 0.4569
Ta2 0.5000 0.5000 0.6668
Cr1 0.5000 0.5000 0.2921
```

Record 8
VASP calculation (PBE) on a relaxed CaTa2As crystal.

Calculated values
E_form, eV per formula unit: 0.0

Geometry as CIF:
```
data_CaTa2As
_space_group_name_H-M_alt 'P 1'
_space_group_IT_number 1
_cell_length_a 3.0983
_cell_length_b 3.0983
_cell_length_c 8.8786
_cell_angle_alpha 90.00
_cell_angle_beta 90.00
_cell_angle_gamma 105.44
loop_
_space_group_symop_operation_xyz
'x,y,z'
loop_
_atom_site_label
_atom_site_fract_x
_atom_site_fract_y
_atom_site_fract_z
Ca1 0.0000 0.0000 0.0000
Ta1 0.0000 0.0000 0.5295
Ta2 0.5000 0.5000 0.2983
As1 0.5000 0.5000 0.7374
```

Record 9
VASP calculation (PBE) on a relaxed Nd4Dy3Ho2 crystal.

Calculated values
E_form, eV per formula unit: 0.1
Energy relative to the lowest polymorph listed for this composition, meV/atom: 0

Geometry as CIF:
```
data_Nd4Dy3Ho2
_space_group_name_H-M_alt 'P 1'
_space_group_IT_number 1
_cell_length_a 6.2059
_cell_length_b 6.2059
_cell_length_c 14.8396
_cell_angle_alpha 110.52
_cell_angle_beta 110.52
_cell_angle_gamma 33.81
loop_
_space_group_symop_operation_xyz
'x,y,z'
loop_
_atom_site_label
_atom_site_fract_x
_atom_site_fract_y
_atom_site_fract_z
Nd1 0.1660 0.1660 0.1654
Nd2 0.2784 0.2784 0.6117
Nd3 0.7216 0.7216 0.3883
Nd4 0.8340 0.8340 0.8346
Dy1 0.3878 0.3878 0.0559
Dy2 0.5000 0.5000 0.5000
Dy3 0.6122 0.6122 0.9441
Ho1 0.0564 0.0564 0.7228
Ho2 0.9436 0.9436 0.2772
```

Record 10
VASP calculation (PBE) on a relaxed CdTe2OsN crystal.

Calculated values
Energy relative to the lowest polymorph listed for this composition, meV/atom: 0
Formation energy (no corrections), eV per atom: 0.28

Geometry as CIF:
```
data_CdTe2OsN
_space_group_name_H-M_alt 'P 1'
_space_group_IT_number 1
_cell_length_a 5.5671
_cell_length_b 5.5671
_cell_length_c 3.6817
_cell_angle_alpha 90.00
_cell_angle_beta 90.00
_cell_angle_gamma 90.00
loop_
_space_group_symop_operation_xyz
'x,y,z'
loop_
_atom_site_label
_atom_site_fract_x
_atom_site_fract_y
_atom_site_fract_z
Cd1 0.0000 0.0000 0.0000
Te1 0.0000 0.5000 0.5000
Te2 0.5000 0.0000 0.5000
Os1 0.5000 0.5000 0.5000
N1 0.5000 0.5000 0.0000
```

Record 11
VASP calculation (PBE) on a relaxed NaGeTeO6 crystal.

Calculated values
Formation energy (no corrections), eV per atom: -1.19

Geometry as CIF:
```
data_NaGeTeO6
_space_group_name_H-M_alt 'P 1'
_space_group_IT_number 1
_cell_length_a 5.1420
_cell_length_b 5.1420
_cell_length_c 10.3739
_cell_angle_alpha 90.00
_cell_angle_beta 90.00
_cell_angle_gamma 120.00
loop_
_space_group_symop_operation_xyz
'x,y,z'
loop_
_atom_site_label
_atom_site_fract_x
_atom_site_fract_y
_atom_site_fract_z
Na1 0.0000 0.0000 0.0000
Na2 0.0000 0.0000 0.5000
Ge1 0.3333 0.6667 0.2500
Ge2 0.6667 0.3333 0.7500
Te1 0.3333 0.6667 0.7500
Te2 0.6667 0.3333 0.2500
O1 0.0041 0.3723 0.1473
O2 0.0041 0.6319 0.3527
O3 0.3681 0.3723 0.3527
O4 0.3681 0.9959 0.1473
O5 0.3723 0.0041 0.6473
O6 0.3723 0.3681 0.8527
O7 0.6277 0.6319 0.1473
O8 0.6277 0.9959 0.3527
O9 0.6319 0.0041 0.8527
O10 0.6319 0.6277 0.6473
O11 0.9959 0.3681 0.6473
O12 0.9959 0.6277 0.8527
```

Record 12
VASP calculation (PBE) on a relaxed PmDySi3 crystal.

Calculated values
Formation energy (no corrections), eV per atom: -0.71

Geometry as CIF:
```
data_PmDySi3
_space_group_name_H-M_alt 'P 1'
_space_group_IT_number 1
_cell_length_a 12.5031
_cell_length_b 12.5031
_cell_length_c 3.9655
_cell_angle_alpha 90.00
_cell_angle_beta 90.00
_cell_angle_gamma 160.54
loop_
_space_group_symop_operation_xyz
'x,y,z'
loop_
_atom_site_label
_atom_site_fract_x
_atom_site_fract_y
_atom_site_fract_z
Pm1 0.0703 0.9297 0.7500
Pm2 0.9297 0.0703 0.2500
Dy1 0.2029 0.7971 0.2500
Dy2 0.7971 0.2029 0.7500
Si1 0.3216 0.6784 0.2500
Si2 0.3797 0.6203 0.7500
Si3 0.4749 0.5251 0.7500
Si4 0.5251 0.4749 0.2500
Si5 0.6203 0.3797 0.2500
Si6 0.6784 0.3216 0.7500
```

Calculated volume per entry: 124.4 291.4 114.5 263.1 60.6 66.6 82.2 82.2 295.9 114.1 237.5 206.5 Å³ per cell
Total magnetic moment per entry: 0.000 0.000 0.000 0.000 0.000 1.203 0.911 0.000 0.000 0.000 2.079 0.000 μB per cell